Density functional theory data (GGA-PBE) for V3CrBr after structural relaxation.

Results
The relative energy among the computed polymorphs is 45 meV/atom. For the uncorrected formation energy, the calculation gives 1.16 eV per atom.

POSCAR file:
```
V3CrBr
1.0
4.503 0.000 0.000
0.000 4.503 0.000
0.000 0.000 4.503
V Cr Br
3 1 1
Direct
0.000 0.000 0.500
0.000 0.500 0.000
0.500 0.000 0.000
0.500 0.500 0.500
0.000 0.000 0.000
```

---

Density functional theory data (GGA-PBE) for Mn2VNi2Pt5 after structural relaxation.

Results
The calculated formation energy is -179.8 meV/atom.

POSCAR file:
```
Mn2VNi2Pt5
1.0
8.758 0.000 0.000
0.000 8.758 0.000
0.000 0.000 3.942
Mn V Ni Pt
4 2 4 10
Direct
0.172 0.328 0.000
0.328 0.828 0.000
0.672 0.172 0.000
0.828 0.672 0.000
0.000 0.000 0.000
0.500 0.500 0.000
0.123 0.623 0.000
0.377 0.123 0.000
0.623 0.877 0.000
0.877 0.377 0.000
0.000 0.500 0.500
0.082 0.801 0.500
0.199 0.082 0.500
0.301 0.582 0.500
0.418 0.301 0.500
0.500 0.000 0.500
0.582 0.699 0.500
0.699 0.418 0.500
0.801 0.918 0.500
0.918 0.199 0.500
```

---

Density functional theory data (GGA-PBE) for CaLaAu2 after structural relaxation.

Results
The calculated formation energy is -518.3 meV/atom.

POSCAR file:
```
CaLaAu2
1.0
2.430 1.403 5.527
-2.430 1.403 5.527
0.000 -2.806 5.527
Ca La Au
1 1 2
Direct
0.000 0.000 0.000
0.801 0.801 0.801
0.204 0.204 0.204
0.600 0.600 0.600
```

---

Number 1: total magnetic moment 0.54 μB/f.u., ρ 5.18 Mg/m³. Number 2: total magnetic moment 8.43 μB/f.u., ρ 13.77 Mg/m³. Number 3: total magnetic moment 0.00 μB/f.u., ρ 8.42 Mg/m³.